[1]
Density functional theory data (meta-GGA SCAN) for a PBEsol-optimized structure of PrBrO.

Summary:
The value obtained for the total energy is -26.108 eV/atom. As for the volume: 23.81 A^3/atom. The value obtained for the density of states at the Fermi level is 0.00 states/eV/atom.

a b c (Å): 4.0073 4.0073 10.5300
angles (deg): 79.03 79.03 60.00
With the nearest neighbours (Å) after each atom.
Atoms (fractional coordinates):
O (0.6381, 0.6381, 0.0858)  4 Pr 2.37-2.39
O (0.3619, 0.3619, 0.9142)  4 Pr 2.37-2.39
Br (0.8884, 0.8884, 0.3348)  3 Pr 3.03
Br (0.1116, 0.1116, 0.6652)  3 Pr 3.03
Pr (0.7149, 0.7149, 0.8552)  4 O 2.37-2.39
Pr (0.2851, 0.2851, 0.1448)  4 O 2.37-2.39

[2]
Density functional theory data (meta-GGA SCAN) for a PBEsol-optimized structure of TlP2WCl.

Summary:
The value obtained for the total energy is -32.376 eV/atom. As for the volume: 20.21 A^3/atom. The value obtained for the density of states at the Fermi level is 0.79 states/eV/atom.

a b c (Å): 4.3623 4.8129 4.8129
angles (deg): 90.00 90.00 90.00
With the nearest neighbours (Å) after each atom.
Atoms (fractional coordinates):
W (0.5000, 0.0000, 0.0000)  2 Cl 2.18
Tl (0.5000, 0.5000, 0.5000)  8 P 3.25, 4 W 3.40
P (0.0000, 0.5000, 0.0000)  2 Cl 2.41
P (0.0000, 0.0000, 0.5000)  2 Cl 2.41
Cl (0.0000, 0.0000, 0.0000)  2 W 2.18, 4 P 2.41

[3]
Density functional theory data (meta-GGA SCAN) for a PBEsol-optimized structure of BaLaAl2.

Summary:
The value obtained for the total energy is -24.634 eV/atom. For the energy of formation from the pure elements, the calculation gives -95 meV per atom. As for the polymorph energy (0 for the lowest one): 0.105 eV/atom. As for the volume: 33.25 A^3/atom. The value obtained for the density of states at the Fermi level is 0.85 states/eV/atom.

a b c (Å): 4.6995 5.5683 6.4756
angles (deg): 62.26 68.72 65.04
With the nearest neighbours (Å) after each atom.
Atoms (fractional coordinates):
La (0.0000, 0.5000, 0.5000)  6 Al 3.09-3.18
Al (0.2651, 0.8484, 0.6214)  2 Al 2.89, 3 La 3.09-3.18
Al (0.7349, 0.1516, 0.3786)  2 Al 2.89, 3 La 3.09-3.18
Ba (0.5000, 0.0000, 0.0000)  6 Al 3.54-3.55, 4 La 3.92

[4]
Density functional theory data (meta-GGA SCAN) for a PBEsol-optimized structure of CrRhSe2.

Summary:
The value obtained for the total energy is -22.695 eV/atom. As for the polymorph energy (0 for the lowest one): 0.416 eV/atom. As for the volume: 15.67 A^3/atom. The value obtained for the density of states at the Fermi level is 0.82 states/eV/atom.

a b c (Å): 4.4585 4.4585 4.4585
angles (deg): 60.00 60.00 60.00
With the nearest neighbours (Å) after each atom.
Atoms (fractional coordinates):
Se (0.0000, 0.0000, 0.0000)  4 Rh 2.73, 4 Se 2.73
Se (0.2500, 0.2500, 0.2500)  4 Cr 2.73, 4 Se 2.73
Cr (0.5000, 0.5000, 0.5000)  4 Se 2.73, 4 Rh 2.73
Rh (0.7500, 0.7500, 0.7500)  4 Cr 2.73, 4 Se 2.73